Entry 1:
First-principles (PBE-GGA) data for a relaxed La2HIr crystal, as listed in the Alexandria database.

```
La2HIr
1.0
2.078 1.200 6.249
-2.078 1.200 6.249
0.000 -2.399 6.249
La H Ir
2 1 1
direct
0.249 0.249 0.249
0.751 0.751 0.751
0.500 0.500 0.500
0.000 0.000 0.000
```

Computed properties:
VASP energy ... -24.53 eV per cell
Excess energy over the best structure of this formula in the dataset ... 0 meV/atom

***

Entry 2:
First-principles (PBE-GGA) data for a relaxed LaHIr crystal, as listed in the Alexandria database.

```
LaHIr
1.0
5.967 -2.022 0.000
5.967 2.022 0.000
-0.082 0.000 4.400
La H Ir
2 2 2
direct
0.131 0.131 0.265
0.869 0.869 0.735
0.311 0.311 0.012
0.689 0.689 0.988
0.416 0.416 0.279
0.584 0.584 0.721
```

Computed properties:
VASP energy ... -38.18 eV per cell
Excess energy over the best structure of this formula in the dataset ... 0 meV/atom

***

Entry 3:
First-principles (PBE-GGA) data for a relaxed LaHIr3 crystal, as listed in the Alexandria database.

```
LaHIr3
1.0
4.193 0.000 0.000
0.000 4.193 0.000
0.000 0.000 4.193
La H Ir
1 1 3
direct
0.000 0.000 0.000
0.500 0.500 0.500
0.000 0.500 0.500
0.500 0.000 0.500
0.500 0.500 0.000
```

Computed properties:
VASP energy ... -35.56 eV per cell
Excess energy over the best structure of this formula in the dataset ... 0 meV/atom